# 1
Entry from the Alexandria database: Tb2Nd4Er3 after structural relaxation (PBE-GGA).

Unit cell a=5.0942 b=6.2142 c=10.7912 alpha=73.44 beta=89.99 gamma=65.83
Closest atoms and distances in Å follow each position.
Element x y z (fractional)
Tb 0.3320 0.3360 0.7757  5 Er 3.56-3.62, 7 Nd 3.58-3.62
Tb 0.6680 0.6640 0.2243  5 Er 3.56-3.62, 7 Nd 3.58-3.62
Nd 0.6663 0.6674 0.8883  4 Er 3.59-3.61, 4 Tb 3.59-3.62, 4 Nd 3.60-3.61
Nd 0.0011 0.9977 0.3335  3 Tb 3.58-3.59, 6 Er 3.58-3.61, 3 Nd 3.60
Nd 0.9989 0.0023 0.6665  3 Tb 3.58-3.59, 6 Er 3.58-3.61, 3 Nd 3.60
Nd 0.3337 0.3326 0.1117  4 Er 3.59-3.61, 4 Tb 3.59-3.62, 4 Nd 3.60-3.61
Er 0.3338 0.3324 0.4461  3 Tb 3.56-3.60, 3 Er 3.58, 6 Nd 3.58-3.61
Er 0.0000 0.0000 0.0000  8 Nd 3.59, 4 Tb 3.62
Er 0.6662 0.6676 0.5539  3 Tb 3.56-3.60, 3 Er 3.58, 6 Nd 3.58-3.61

The calculation puts the distance to the lowest polymorph of the same formula at 0 meV per atom. Its total moment is 0.00 μB/cell. The calculation puts the volume at 296 Å³/cell. Its mass density is 7.8 g/cm3. For the uncorrected energy, the calculation gives -4.6509 eV/atom. The formation energy is 16 kJ/mol of formula units.

=====

# 2
Entry from the Alexandria database: Tb5Nd3Er4 after structural relaxation (PBE-GGA).

Unit cell a=7.1417 b=11.2936 c=12.8722 alpha=151.28 beta=56.36 gamma=129.27
Closest atoms and distances in Å follow each position.
Element x y z (fractional)
Tb 0.3338 0.6684 0.8346  3 Tb 3.55-3.58, 5 Er 3.57-3.59, 4 Nd 3.57-3.58
Tb 0.5000 0.0000 0.5000  4 Tb 3.56-3.57, 4 Nd 3.57, 4 Er 3.57
Tb 0.7483 0.5014 0.0012  6 Tb 3.54-3.60, 3 Er 3.56, 3 Nd 3.57-3.59
Tb 0.2517 0.4986 0.9988  6 Tb 3.54-3.60, 3 Er 3.56, 3 Nd 3.57-3.59
Tb 0.6662 0.3316 0.1654  3 Tb 3.55-3.58, 5 Er 3.57-3.59, 4 Nd 3.57-3.58
Nd 0.5856 0.1686 0.3341  6 Er 3.55-3.59, 5 Tb 3.57-3.58, 1 Nd 3.58
Nd 0.0000 0.0000 0.5000  8 Tb 3.57-3.59, 2 Nd 3.58, 2 Er 3.58
Nd 0.4144 0.8314 0.6659  6 Er 3.55-3.59, 5 Tb 3.57-3.58, 1 Nd 3.58
Er 0.9178 0.8345 0.6683  3 Er 3.55-3.58, 4 Nd 3.55-3.59, 5 Tb 3.56-3.59
Er 0.8338 0.6675 0.8340  4 Er 3.55-3.58, 3 Nd 3.56-3.57, 5 Tb 3.56-3.57
Er 0.1662 0.3325 0.1660  4 Er 3.55-3.58, 3 Nd 3.56-3.57, 5 Tb 3.56-3.57
Er 0.0822 0.1655 0.3317  3 Er 3.55-3.58, 4 Nd 3.55-3.59, 5 Tb 3.56-3.59

The calculation puts the distance to the lowest polymorph of the same formula at 0 meV per atom. Its total moment is 0.00 μB/cell. The calculation puts the volume at 386 Å³/cell. Its mass density is 8.2 g/cm3. For the uncorrected energy, the calculation gives -4.6250 eV/atom. The formation energy is 20 kJ/mol of formula units.

=====

# 3
Entry from the Alexandria database: Tb2NdEr after structural relaxation (PBE-GGA).

Unit cell a=3.5754 b=3.5754 c=10.1269 alpha=90.00 beta=90.00 gamma=90.00
Closest atoms and distances in Å follow each position.
Element x y z (fractional)
Nd 0.5000 0.5000 0.5000  4 Nd 3.58, 8 Tb 3.62
Tb 0.0000 0.0000 0.7557  4 Er 3.54, 4 Tb 3.58, 4 Nd 3.62
Tb 0.0000 0.0000 0.2443  4 Er 3.54, 4 Tb 3.58, 4 Nd 3.62
Er 0.5000 0.5000 0.0000  8 Tb 3.54, 4 Er 3.58

The calculation puts the distance to the lowest polymorph of the same formula at 14 meV per atom. Its total moment is 0.00 μB/cell. The calculation puts the volume at 129 Å³/cell. Its mass density is 8.1 g/cm3. For the uncorrected energy, the calculation gives -4.6266 eV/atom. The formation energy is 8 kJ/mol of formula units.

=====

# 4
Entry from the Alexandria database: Tb8Nd3Er3 after structural relaxation (PBE-GGA).

Unit cell a=5.6648 b=9.6837 c=9.6838 alpha=101.83 beta=72.98 gamma=72.98
Closest atoms and distances in Å follow each position.
Element x y z (fractional)
Tb 0.6599 0.1193 0.5604  6 Tb 3.30-3.55, 1 Er 3.63, 2 Nd 3.63
Tb 0.3401 0.8807 0.4396  6 Tb 3.30-3.55, 1 Er 3.63, 2 Nd 3.63
Tb 0.6599 0.5603 0.1193  6 Tb 3.30-3.55, 1 Er 3.63, 2 Nd 3.63
Tb 0.3401 0.4397 0.8807  6 Tb 3.30-3.55, 1 Er 3.63, 2 Nd 3.63
Tb 0.8414 0.7614 0.5564  5 Tb 3.08-3.44
Tb 0.1586 0.2386 0.4436  5 Tb 3.08-3.44
Tb 0.8414 0.5564 0.7614  5 Tb 3.08-3.44
Tb 0.1586 0.4436 0.2386  5 Tb 3.08-3.44
Nd 0.5000 0.0000 0.0000  4 Er 3.59, 4 Nd 3.94, 4 Tb 4.00
Nd 0.0000 0.8181 0.1818  2 Er 3.51, 8 Tb 3.63-3.72
Nd 0.0000 0.1819 0.8182  2 Er 3.51, 8 Tb 3.63-3.72
Er 0.5000 0.5000 0.5000  2 Er 3.20
Er 0.7961 0.2040 0.2041  1 Er 3.20, 2 Nd 3.51, 4 Tb 3.55
Er 0.2039 0.7960 0.7959  1 Er 3.20, 2 Nd 3.51, 4 Tb 3.55

Its total moment is 0.00 μB/cell. The calculation puts the volume at 460 Å³/cell. Its mass density is 8.0 g/cm3. For the uncorrected energy, the calculation gives -4.5403 eV/atom. The formation energy is 142 kJ/mol of formula units.

=====

# 5
Entry from the Alexandria database: Tb4Nd2Er after structural relaxation (PBE-GGA).

Unit cell a=3.7209 b=13.9681 c=18.2544 alpha=101.86 beta=90.00 gamma=90.00
Closest atoms and distances in Å follow each position.
Element x y z (fractional)
Tb 0.9999 0.6989 0.5561  4 Tb 3.30-3.46, 2 Er 3.33, 3 Nd 3.53-3.64
Tb 0.4999 0.8011 0.4438  4 Tb 3.30-3.46, 2 Er 3.33, 3 Nd 3.53-3.65
Tb 0.0001 0.2113 0.9265  4 Tb 3.26-3.27, 2 Nd 3.48
Tb 0.5001 0.2886 0.0733  4 Tb 3.26-3.27, 2 Nd 3.48
Tb 0.0001 0.3011 0.4439  4 Tb 3.30-3.46, 2 Er 3.33, 3 Nd 3.53-3.64
Tb 0.5001 0.1989 0.5562  4 Tb 3.30-3.46, 2 Er 3.33, 3 Nd 3.54-3.65
Tb 0.9999 0.7887 0.0735  4 Tb 3.26-3.27, 2 Nd 3.48-3.49
Tb 0.4999 0.7114 0.9267  4 Tb 3.26-3.27, 2 Nd 3.48
Tb 0.0000 0.1416 0.7010  6 Tb 3.37-3.72, 4 Nd 3.67-3.74
Tb 0.5000 0.3584 0.2991  6 Tb 3.37-3.72, 4 Nd 3.67-3.74
Tb 0.0000 0.5449 0.8217  4 Tb 3.27-3.37, 3 Nd 3.38-3.42, 1 Er 3.44
Tb 0.5000 0.9554 0.1783  4 Tb 3.27-3.37, 3 Nd 3.38-3.42, 1 Er 3.44
Tb 0.0000 0.8584 0.2990  6 Tb 3.37-3.72, 4 Nd 3.67-3.74
Tb 0.5000 0.6415 0.7009  6 Tb 3.37-3.72, 4 Nd 3.67-3.74
Tb 0.0000 0.4551 0.1783  4 Tb 3.27-3.37, 3 Nd 3.38-3.42, 1 Er 3.44
Tb 0.5000 0.0446 0.8217  4 Tb 3.27-3.37, 3 Nd 3.38-3.42, 1 Er 3.44
Nd 0.9999 0.8423 0.8191  6 Tb 3.38-3.67, 2 Nd 3.72
Nd 0.4999 0.6575 0.1809  6 Tb 3.38-3.67, 2 Nd 3.72
Nd 0.0002 0.4061 0.6440  6 Tb 3.42-3.74, 2 Er 3.67-3.68, 2 Nd 3.72
Nd 0.5002 0.0940 0.3561  6 Tb 3.42-3.74, 2 Er 3.67-3.68, 2 Nd 3.72
Nd 0.0001 0.1577 0.1809  6 Tb 3.38-3.67, 2 Nd 3.72
Nd 0.5001 0.3425 0.8191  6 Tb 3.38-3.67, 2 Nd 3.72
Nd 0.9998 0.5939 0.3561  6 Tb 3.42-3.74, 2 Er 3.67-3.68, 2 Nd 3.72
Nd 0.4998 0.9061 0.6439  6 Tb 3.42-3.74, 2 Er 3.67, 2 Nd 3.72
Er 0.0000 0.0000 0.5000  4 Tb 3.33, 4 Nd 3.67-3.68, 2 Er 3.72
Er 0.5000 0.5000 0.5000  4 Tb 3.33, 4 Nd 3.67-3.68, 2 Er 3.72
Er 0.0000 0.5000 0.0000  2 Tb 3.44, 2 Er 3.72
Er 0.5000 0.0000 0.0000  2 Tb 3.44, 2 Er 3.72

The calculation puts the distance to the lowest polymorph of the same formula at 90 meV per atom. Its total moment is 0.00 μB/cell. The calculation puts the volume at 928 Å³/cell. Its mass density is 7.8 g/cm3. For the uncorrected energy, the calculation gives -4.5527 eV/atom. The formation energy is 72 kJ/mol of formula units.

=====

# 6
Entry from the Alexandria database: Tb4NdEr3 after structural relaxation (PBE-GGA).

Unit cell a=5.6539 b=3.5583 c=13.3012 alpha=89.96 beta=102.27 gamma=90.00
Closest atoms and distances in Å follow each position.
Element x y z (fractional)
Nd 0.5000 0.0000 0.0000  4 Tb 3.26-3.27, 4 Er 3.34, 2 Nd 3.56
Tb 0.6053 0.5002 0.2106  1 Tb 3.09, 2 Nd 3.26-3.27
Tb 0.3947 0.4998 0.7894  1 Tb 3.09, 2 Nd 3.26-3.27
Tb 0.2757 0.4987 0.5514  3 Tb 3.09-3.13
Tb 0.7243 0.5013 0.4486  3 Tb 3.09-3.13
Er 0.0000 0.5000 0.0000  4 Nd 3.34, 2 Er 3.56
Er 0.8448 0.9991 0.6896  2 Er 3.56, 10 Tb 3.58-3.79
Er 0.1552 0.0009 0.3104  2 Er 3.56, 10 Tb 3.58-3.79

The calculation puts the distance to the lowest polymorph of the same formula at 212 meV per atom. Its total moment is 0.00 μB/cell. The calculation puts the volume at 261 Å³/cell. Its mass density is 8.1 g/cm3. For the uncorrected energy, the calculation gives -4.3987 eV/atom. The formation energy is 173 kJ/mol of formula units.

=====

What is the total moment in the third record? 0.00 μB/cell

=====

Please write out number 1 again, unchanged.
Entry from the Alexandria database: Tb2Nd4Er3 after structural relaxation (PBE-GGA).

Unit cell a=5.0942 b=6.2142 c=10.7912 alpha=73.44 beta=89.99 gamma=65.83
Closest atoms and distances in Å follow each position.
Element x y z (fractional)
Tb 0.3320 0.3360 0.7757  5 Er 3.56-3.62, 7 Nd 3.58-3.62
Tb 0.6680 0.6640 0.2243  5 Er 3.56-3.62, 7 Nd 3.58-3.62
Nd 0.6663 0.6674 0.8883  4 Er 3.59-3.61, 4 Tb 3.59-3.62, 4 Nd 3.60-3.61
Nd 0.0011 0.9977 0.3335  3 Tb 3.58-3.59, 6 Er 3.58-3.61, 3 Nd 3.60
Nd 0.9989 0.0023 0.6665  3 Tb 3.58-3.59, 6 Er 3.58-3.61, 3 Nd 3.60
Nd 0.3337 0.3326 0.1117  4 Er 3.59-3.61, 4 Tb 3.59-3.62, 4 Nd 3.60-3.61
Er 0.3338 0.3324 0.4461  3 Tb 3.56-3.60, 3 Er 3.58, 6 Nd 3.58-3.61
Er 0.0000 0.0000 0.0000  8 Nd 3.59, 4 Tb 3.62
Er 0.6662 0.6676 0.5539  3 Tb 3.56-3.60, 3 Er 3.58, 6 Nd 3.58-3.61

The calculation puts the distance to the lowest polymorph of the same formula at 0 meV per atom. Its total moment is 0.00 μB/cell. The calculation puts the volume at 296 Å³/cell. Its mass density is 7.8 g/cm3. For the uncorrected energy, the calculation gives -4.6509 eV/atom. The formation energy is 16 kJ/mol of formula units.